VASP calculation (PBE) on PmTlAg2 after structural relaxation.

Structure (extended XYZ):
```
4
Lattice="3.845 0.000 0.000 0.000 3.845 0.000 0.000 0.000 6.660" Properties=species:S:1:pos:R:3 pbc="T T T"
Tl 1.922 1.922 0.000
Ag 0.000 0.000 4.964
Ag 0.000 0.000 1.695
Pm 1.922 1.922 3.330
```

Magnetic moment ... 0.00 Bohr magnetons per cell
ΔH_f (0 K) ... -0.13 eV per atom
Polymorph energy (0 for the lowest one) ... 0.117 eV per atom
V ... 98.4 Å³/cell